Material: Pu2VH5
Method: DFT, PBE
State: optimized geometry

Properties
Theoretical density ... 10.44 g/cm3
Uncorrected energy ... -0.2590 Ha/atom

Lattice parameters (Å, degrees): 4.962 4.962 7.025 90.00 90.00 90.00
Space group I4mm (No. 107)
Inequivalent atoms, fractional coordinates:
1 Pu 0.000 0.500 0.000 x4
2 V 0.000 0.000 0.241 x2
3 H 0.000 0.000 0.498 x2
4 H 0.242 0.242 0.747 x8

Material: Ac2Pr4Nd2Ho
Method: DFT, PBE
State: optimized geometry

Properties
Formation energy ... 0.03 eV per atom
Theoretical density ... 7.26 g/cm3

Lattice parameters (Å, degrees): 19.513 3.785 10.114 90.00 115.64 90.00
Space group C2/m (No. 12)
Inequivalent atoms, fractional coordinates:
1 Ac 0.146 0.000 0.168 x4
2 Pr 0.018 0.500 0.818 x4
3 Pr 0.184 0.000 0.829 x4
4 Nd 0.164 0.500 0.503 x4
5 Ho 0.000 0.000 0.500 x2

Material: NaPmCu2
Method: DFT, PBE
State: optimized geometry

Properties
Formation energy ... 0.07 eV per atom
Theoretical density ... 5.21 g/cm3

Lattice parameters (Å, degrees): 3.631 3.631 7.141 90.00 90.00 90.00
Space group P4/mmm (No. 123)
Inequivalent atoms, fractional coordinates:
1 Na 0.000 0.000 0.000 x1
2 Pm 0.000 0.000 0.500 x1
3 Cu 0.500 0.500 0.301 x2

Material: ZnAsCl2
Method: DFT, PBE
State: optimized geometry

Properties
Energy relative to the lowest polymorph listed for this composition ... 0.1781 eV per atom
Theoretical density ... 2.85 g/cm3
Raw formation energy ... -248 meV/atom

Lattice parameters (Å, degrees): 5.300 3.610 6.943 90.00 112.36 90.00
Space group P2/m (No. 10)
Inequivalent atoms, fractional coordinates:
1 Zn 0.000 0.000 0.000 x1
2 As 0.500 0.000 0.000 x1
3 Cl 0.361 0.500 0.722 x2

Material: LaTb2Nd2Dy2
Method: DFT, PBE
State: optimized geometry

Properties
Formation energy ... 0.12 eV per atom
Theoretical density ... 7.56 g/cm3

Lattice parameters (Å, degrees): 9.562 6.015 9.237 90.00 117.70 90.00
Space group C2/m (No. 12)
Inequivalent atoms, fractional coordinates:
1 La 0.000 0.000 0.000 x2
2 Tb 0.216 0.500 0.144 x4
3 Nd 0.148 0.000 0.433 x4
4 Dy 0.070 0.500 0.717 x4

Material: CePuSbO2
Method: DFT, PBE
State: optimized geometry

Properties
Theoretical density ... 8.91 g/cm3
Raw formation energy ... -2477 meV/atom

Lattice parameters (Å, degrees): 3.942 3.942 12.903 90.00 90.00 90.00
Space group I4mm (No. 107)
Inequivalent atoms, fractional coordinates:
1 Ce 0.000 0.000 0.000 x2
2 Pu 0.000 0.000 0.312 x2
3 Sb 0.000 0.000 0.661 x2
4 O 0.000 0.500 0.408 x4

> theoretical density of number 5 (LaTb2Nd2Dy2)?

7.56 g/cm3